The following is a DFT calculation (GGA-PBEsol) of a relaxed structure of As2ClO.

Cell and atoms, written as extended XYZ:
```
8
Lattice="4.6208 0.0000 0.0000 0.0000 4.6208 0.0000 -2.3104 -2.3104 7.0866" Properties=species:S:1:pos:R:3 pbc="T T T"
As 1.7346 3.4656 1.7717
As 2.8862 1.1552 1.7717
As -1.1552 -0.5758 5.3150
As 1.1552 0.5758 5.3150
O 2.3104 0.0000 3.5433
O 2.3104 2.3104 0.0000
Cl 0.0000 2.3104 3.5433
Cl 0.0000 0.0000 0.0000
```

Calculated values
The calculation puts the uncorrected formation energy at -0.09 eV per atom. Its space group is No. 122. For the total magnetization, the calculation gives 0.00 μB/f.u.